First-principles (PBE) data for a geometry-optimized Y4Ho5Sc structure, as listed in Alexandria via LeMat-Bulk.

Output
E above lowest polymorph: 98 kJ/mol of formula units
final energy: -52.8 eV/f.u.
DFT formation energy: 0.224 eV per atom
DOS(E_F): 13.7 states/eV/f.u.

a = 5.7449 Å, b = 7.9954 Å, c = 7.9954 Å
α = 82.58°, β = 68.94°, γ = 68.94°
Fractional positions:
Ho (0.6770, 0.0000, 0.0000)
Ho (0.7715, 0.0000, 0.3723)
Ho (0.7715, 0.3723, 0.0000)
Ho (0.1438, 0.6277, 0.0000)
Ho (0.1438, 0.0000, 0.6277)
Y (0.1280, 0.3208, 0.3208)
Y (0.4488, 0.6792, 0.3208)
Y (0.4487, 0.3208, 0.6792)
Y (0.7695, 0.6792, 0.6792)
Sc (0.2077, 0.0000, 0.0000)

=====

First-principles (PBE) data for a geometry-optimized PuCrSe2 structure, as listed in Alexandria via LeMat-Bulk.

Output
formation energy without anion corrections: -0.424 eV/atom
final energy: -32.6 eV/f.u.
DOS(E_F): 8.7 states/eV/f.u.

a = 3.6676 Å, b = 3.6676 Å, c = 8.8343 Å
α = 78.02°, β = 78.02°, γ = 60.00°
Fractional positions:
Cr (0.5000, 0.5000, 0.5000)
Pu (0.0000, 0.0000, 0.0000)
Se (0.1119, 0.1119, 0.6642)
Se (0.8881, 0.8881, 0.3358)

=====

First-principles (PBE) data for a geometry-optimized LiOsRh structure, as listed in Alexandria via LeMat-Bulk.

Output
E above lowest polymorph: 20 kJ/mol of formula units
final energy: -20.3 eV/f.u.
DFT formation energy: 0.058 eV per atom
DOS(E_F): 2.7 states/eV/f.u.

a = 7.3031 Å, b = 2.6965 Å, c = 4.5636 Å
α = 89.82°, β = 70.59°, γ = 100.71°
Fractional positions:
Li (0.8953, 0.5924, 0.7165)
Li (0.2346, 0.2604, 0.4122)
Os (0.5749, 0.9295, 0.0814)
Os (0.5362, 0.4157, 0.6176)
Rh (0.8816, 0.0853, 0.2253)
Rh (0.2131, 0.7521, 0.9369)

=====

| no. | mass density (g/cm³) |
| --- | --- |
| 1 | 6.36 |
| 2 | 7.54 |
| 3 | 12.00 |